DFT (PBE) results for a relaxed TaCrCo3 crystal.

Cell and atoms, written as extended XYZ:
```
5
Lattice="4.128 0.000 0.000 0.000 4.128 0.000 0.000 0.000 4.128" Properties=species:S:1:pos:R:3 pbc="T T T"
Co 2.064 0.000 0.000
Co 0.000 0.000 2.064
Co 0.000 2.064 0.000
Cr 0.000 0.000 0.000
Ta 2.064 2.064 2.064
```

Summary:
Total magnetic moment = 0.0 μB per cell
SG = Pm-3m, No. 221
Polymorph energy (0 for the lowest one) = 0.000 eV per formula unit